[1]
Crystalline AlTlW2 at its relaxed geometry, computed with PBE-GGA.

Summary:
ρ = 14.35 g/cm³
Formation energy from the elements = 741 meV per atom
VASP energy = -7.26 eV/atom
E above lowest polymorph = 127 kJ/mol of formula units

Unit cell a=6.521 b=6.521 c=6.521 alpha=90.00 beta=90.00 gamma=90.00
Space group F-43m (No. 216)
Asymmetric unit:
Al: 0.000 0.000 0.000 x4
Tl: 0.250 0.250 0.750 x4
W: 0.000 0.000 0.500 x4
W: 0.250 0.250 0.250 x4

---

[2]
Crystalline AlTlW2 at its relaxed geometry, computed with PBE-GGA.

Summary:
ρ = 14.13 g/cm³
Formation energy from the elements = 640 meV per atom
VASP energy = -7.36 eV/atom
E above lowest polymorph = 88 kJ/mol of formula units

Unit cell a=2.9335 b=2.9335 c=28.3466 alpha=90.00 beta=90.00 gamma=120.00
Space group R-3m (No. 166, hexagonal axes)
Asymmetric unit:
Al: 0.0000 0.0000 0.0000 x3
Tl: 0.0000 0.0000 0.5000 x3
W: 0.0000 0.0000 0.2547 x6

---

[3]
Crystalline Al3TlW at its relaxed geometry, computed with PBE-GGA.

Summary:
ρ = 6.26 g/cm³
Formation energy from the elements = 566 meV per atom
VASP energy = -4.74 eV/atom
E above lowest polymorph = 0 kJ/mol of formula units

Unit cell a=4.993 b=4.993 c=4.993 alpha=90.00 beta=90.00 gamma=90.00
Space group Pm-3m (No. 221)
Asymmetric unit:
Al: 0.000 0.000 0.500 x3
Tl: 0.500 0.500 0.500 x1
W: 0.000 0.000 0.000 x1

---

[4]
Crystalline AlTlW2 at its relaxed geometry, computed with PBE-GGA.

Summary:
ρ = 14.22 g/cm³
Formation energy from the elements = 786 meV per atom
VASP energy = -7.22 eV/atom
E above lowest polymorph = 144 kJ/mol of formula units

Unit cell a=5.604 b=8.899 c=2.806 alpha=90.00 beta=90.00 gamma=90.00
Space group Cmmm (No. 65)
Asymmetric unit:
Al: 0.000 0.000 0.000 x2
Tl: 0.000 0.500 0.000 x2
W: 0.250 0.250 0.500 x4

---

[5]
Crystalline AlTlW2 at its relaxed geometry, computed with PBE-GGA.

Summary:
ρ = 14.19 g/cm³
Formation energy from the elements = 683 meV per atom
VASP energy = -7.32 eV/atom
E above lowest polymorph = 105 kJ/mol of formula units

Unit cell a=5.686 b=9.200 c=2.866 alpha=90.00 beta=110.71 gamma=90.00
Space group C2/m (No. 12)
Asymmetric unit:
Al: 0.000 0.000 0.000 x2
Tl: 0.000 0.500 0.000 x2
W: 0.250 0.250 0.500 x4

---

[6]
Crystalline AlTl2W at its relaxed geometry, computed with PBE-GGA.

Summary:
ρ = 11.83 g/cm³
Formation energy from the elements = 797 meV per atom
VASP energy = -4.56 eV/atom
E above lowest polymorph = 112 kJ/mol of formula units

Unit cell a=3.142 b=5.124 c=10.805 alpha=90.00 beta=90.00 gamma=90.00
Space group Cmmm (No. 65)
Asymmetric unit:
Al: 0.000 0.000 0.000 x2
Tl: 0.000 0.500 0.262 x4
W: 0.000 0.000 0.500 x2

---

[7]
Crystalline AlTlW2 at its relaxed geometry, computed with PBE-GGA.

Summary:
ρ = 14.33 g/cm³
Formation energy from the elements = 891 meV per atom
VASP energy = -7.11 eV/atom
E above lowest polymorph = 185 kJ/mol of formula units

Unit cell a=4.902 b=4.902 c=2.888 alpha=90.00 beta=90.00 gamma=90.00
Space group P4/mmm (No. 123)
Asymmetric unit:
Al: 0.000 0.000 0.000 x1
Tl: 0.500 0.500 0.000 x1
W: 0.000 0.500 0.500 x2

---

[8]
Crystalline AlTlW2 at its relaxed geometry, computed with PBE-GGA.

Summary:
ρ = 14.45 g/cm³
Formation energy from the elements = 940 meV per atom
VASP energy = -7.06 eV/atom
E above lowest polymorph = 204 kJ/mol of formula units

Unit cell a=6.506 b=6.506 c=6.506 alpha=90.00 beta=90.00 gamma=90.00
Space group Fm-3m (No. 225)
Asymmetric unit:
Al: 0.000 0.000 0.000 x4
Tl: 0.000 0.000 0.500 x4
W: 0.250 0.250 0.250 x8

---

[9]
Crystalline AlTl2W at its relaxed geometry, computed with PBE-GGA.

Summary:
ρ = 11.76 g/cm³
Formation energy from the elements = 533 meV per atom
VASP energy = -4.82 eV/atom
E above lowest polymorph = 10 kJ/mol of formula units

Unit cell a=3.025 b=3.025 c=9.563 alpha=90.00 beta=90.00 gamma=90.00
Space group P4mm (No. 99)
Asymmetric unit:
Al: 0.000 0.000 0.000 x1
Tl: 0.000 0.000 0.576 x1
Tl: 0.500 0.500 0.258 x1
W: 0.500 0.500 0.821 x1

---

[10]
Crystalline AlTlW2 at its relaxed geometry, computed with PBE-GGA.

Summary:
ρ = 14.14 g/cm³
Formation energy from the elements = 632 meV per atom
VASP energy = -7.37 eV/atom
E above lowest polymorph = 85 kJ/mol of formula units

Unit cell a=3.411 b=4.613 c=8.941 alpha=90.00 beta=90.00 gamma=90.00
Space group Imm2 (No. 44)
Asymmetric unit:
Al: 0.000 0.000 0.000 x2
Tl: 0.000 0.500 0.764 x2
W: 0.000 0.000 0.532 x2
W: 0.000 0.500 0.255 x2

---

[11]
Crystalline AlTlW2 at its relaxed geometry, computed with PBE-GGA.

Summary:
ρ = 13.71 g/cm³
Formation energy from the elements = 565 meV per atom
VASP energy = -7.44 eV/atom
E above lowest polymorph = 59 kJ/mol of formula units

Unit cell a=2.9437 b=2.9437 c=29.0072 alpha=90.00 beta=90.00 gamma=120.00
Space group R3m (No. 160, hexagonal axes)
Asymmetric unit:
Al: 0.0000 0.0000 0.0000 x3
Tl: 0.0000 0.0000 0.2431 x3
W: 0.0000 0.0000 0.4863 x3
W: 0.0000 0.0000 0.7407 x3

---

[12]
Crystalline AlTlW2 at its relaxed geometry, computed with PBE-GGA.

Summary:
ρ = 13.18 g/cm³
Formation energy from the elements = 493 meV per atom
VASP energy = -7.51 eV/atom
E above lowest polymorph = 31 kJ/mol of formula units

Unit cell a=3.240 b=4.823 c=9.659 alpha=90.00 beta=90.00 gamma=90.00
Space group Cmm2 (No. 35)
Asymmetric unit:
Al: 0.000 0.000 0.000 x2
Tl: 0.000 0.500 0.710 x2
W: 0.000 0.000 0.433 x2
W: 0.000 0.500 0.221 x2